! Sm2RuF GGA-PBE optimized geometry; values from VASP
! * energy above the lowest structure with this stoichiometry: 0.0253 eV per atom
! * energy relative to the elements, uncorrected: -1200 meV per atom
! * DOS(E_F): 2.0 states/eV/f.u.
! * VASP energy: -6.35 eV per atom
&SYSTEM
  ibrav = 0, nat = 4, ntyp = 3
/
ATOMIC_SPECIES
Ru 101.07 Ru.upf
F 19.00 F.upf
Sm 150.36 Sm.upf
ATOMIC_POSITIONS angstrom
Ru 1.661 1.661 0.000
F 1.661 1.661 3.721
Sm 0.000 0.000 5.693
Sm 0.000 0.000 1.749
CELL_PARAMETERS angstrom
3.322 0.000 0.000
0.000 3.322 0.000
0.000 0.000 7.442